No. 1
DFT (GGA-PBE) results for a geometry-optimized CsKAg3 structure.

a b c (Å): 6.2093 6.2093 6.2093
angles (deg): 90.00 90.00 90.00
With the nearest neighbours (Å) after each atom.
Space group Pm-3m (No. 221)
Symmetry-distinct sites (fractional):
Cs 0.0000 0.0000 0.0000  12 Ag 4.39
K 0.5000 0.5000 0.5000  6 Ag 3.10
Ag 0.0000 0.5000 0.5000  2 K 3.10

crystal system	cubic
E_tot	-1.573	eV/atom

***

No. 2
DFT (GGA-PBE) results for a geometry-optimized Cs14KAg structure.

a b c (Å): 14.9501 13.1362 16.9561
angles (deg): 90.00 90.00 90.00
With the nearest neighbours (Å) after each atom.
Space group Amm2 (No. 38)
Symmetry-distinct sites (fractional):
Cs 0.0000 0.0000 0.0000  10 Cs 5.26-5.51
Cs 0.0000 0.0000 0.4742  8 Cs 5.21-5.51
Cs 0.0000 0.2128 0.7371  9 Cs 5.14-5.59
Cs 0.2331 0.0000 0.2458  8 Cs 5.05-5.50, 1 K 5.27
Cs 0.2882 0.0000 0.6708  1 Ag 4.05
Cs 0.3176 0.1838 0.9451  1 Ag 4.21
Cs 0.5000 0.2304 0.2057  1 Ag 4.04
K 0.5000 0.0000 0.4490  10 Cs 4.92-5.27
Ag 0.5000 0.0000 0.8201  8 Cs 4.04-4.21

crystal system	orthorhombic
E_tot	-0.969	eV/atom

***

No. 3
DFT (GGA-PBE) results for a geometry-optimized Cs5K2Ag2 structure.

a b c (Å): 11.3135 10.7202 10.6024
angles (deg): 90.00 90.00 90.00
With the nearest neighbours (Å) after each atom.
Space group Amm2 (No. 38)
Symmetry-distinct sites (fractional):
Cs 0.0000 0.0000 0.0000  2 Ag 4.24
Cs 0.2854 0.2498 0.2500  2 Ag 3.90-3.91
K 0.0000 0.0000 0.5001  12 Cs 4.96-5.36
K 0.5000 0.0000 0.5004  8 Cs 4.48-4.49
Ag 0.3746 0.0000 0.9993  1 Ag 2.84

crystal system	orthorhombic
E_tot	-1.273	eV/atom

***

No. 4
DFT (GGA-PBE) results for a geometry-optimized Cs7K3Ag structure.

a b c (Å): 13.5059 14.5692 10.6659
angles (deg): 90.00 104.67 90.00
With the nearest neighbours (Å) after each atom.
Space group Cm (No. 8)
Symmetry-distinct sites (fractional):
Cs 0.0000 0.0000 0.0000  1 Ag 4.06
Cs 0.0289 0.1722 0.4614  1 Ag 3.91
Cs 0.0303 0.5000 0.1351  1 Ag 3.90
Cs 0.2146 0.5000 0.5878  1 Ag 4.14
Cs 0.2442 0.2688 0.0814  1 Ag 3.90
K 0.3145 0.0000 0.3905  2 K 4.42, 3 Cs 4.47-4.82
K 0.3881 0.1662 0.7484  2 K 4.42-4.84, 3 Cs 4.63-4.75
Ag 0.3279 0.5000 0.2617  7 Cs 3.90-4.14

crystal system	monoclinic
E_tot	-1.060	eV/atom

***

No. 5
DFT (GGA-PBE) results for a geometry-optimized CsK2MgAg structure.

a b c (Å): 6.6797 6.6797 5.6417
angles (deg): 90.00 90.00 90.00
With the nearest neighbours (Å) after each atom.
Space group P4/mmm (No. 123)
Symmetry-distinct sites (fractional):
Cs 0.0000 0.0000 0.0000  8 K 4.37, 4 Mg 4.72
K 0.0000 0.5000 0.5000  2 Ag 3.34
Mg 0.5000 0.5000 0.0000  2 Ag 2.82
Ag 0.5000 0.5000 0.5000  2 Mg 2.82

crystal system	tetragonal
E_tot	-1.393	eV/atom

***

No. 6
DFT (GGA-PBE) results for a geometry-optimized Cs2KNaAg structure.

a b c (Å): 7.2638 7.2638 6.7150
angles (deg): 90.00 90.00 90.00
With the nearest neighbours (Å) after each atom.
Space group P4/mmm (No. 123)
Symmetry-distinct sites (fractional):
Cs 0.0000 0.5000 0.0000  2 Ag 3.63
K 0.0000 0.0000 0.5000  2 Ag 3.36
Na 0.5000 0.5000 0.5000  8 Cs 4.95, 4 K 5.14
Ag 0.0000 0.0000 0.0000  2 K 3.36, 4 Cs 3.63

crystal system	tetragonal
E_tot	-1.323	eV/atom

***

No. 7
DFT (GGA-PBE) results for a geometry-optimized Cs2KNaAg structure.

a b c (Å): 7.8028 7.8028 5.6484
angles (deg): 90.00 90.00 90.00
With the nearest neighbours (Å) after each atom.
Space group P4/mmm (No. 123)
Symmetry-distinct sites (fractional):
Cs 0.0000 0.5000 0.0000  2 Na 3.90
K 0.0000 0.0000 0.5000  8 Cs 4.82
Na 0.5000 0.5000 0.0000  2 Ag 2.82
Ag 0.5000 0.5000 0.5000  2 Na 2.82

crystal system	tetragonal
E_tot	-1.227	eV/atom

***

No. 8
DFT (GGA-PBE) results for a geometry-optimized CsKNaAg structure.

a b c (Å): 9.1462 9.1462 9.1462
angles (deg): 90.00 90.00 90.00
With the nearest neighbours (Å) after each atom.
Space group F-43m (No. 216)
Symmetry-distinct sites (fractional):
Cs 0.0000 0.0000 0.0000  4 Na 3.96, 4 Ag 3.96
K 0.0000 0.0000 0.5000  4 Ag 3.96, 4 Na 3.96
Na 0.2500 0.2500 0.2500  4 K 3.96, 4 Cs 3.96
Ag 0.2500 0.2500 0.7500  4 K 3.96, 4 Cs 3.96

crystal system	cubic
E_tot	-1.426	eV/atom